(1)
## BaCa2In (PBE-GGA)

Data for a relaxed BaCa2In crystal.

Cell: 7.3424 7.3424 6.2743 Å, 64.60 64.60 32.27°
Closest atoms and distances in Å follow each position.
Fractional coordinates of all 4 atoms:
Ca (0.0458, 0.0458, 0.9540)  2 In 3.29
Ca (0.4542, 0.4542, 0.5460)  2 In 3.29
Ba (0.2500, 0.2500, 0.2500)  4 In 3.74, 4 Ca 4.06, 2 Ba 4.08
In (0.7500, 0.7500, 0.7500)  4 Ca 3.29

Output
symmetry = C2/m
E_tot = -9.5 eV for the cell shown

(2)
## TaBeRh (PBE-GGA)

Data for a relaxed TaBeRh crystal.

Cell: 5.2147 5.2145 2.8904 Å, 73.91 73.91 32.18°
Closest atoms and distances in Å follow each position.
Fractional coordinates of all 3 atoms:
Be (0.0207, 0.0207, 0.9793)  4 Rh 2.34
Rh (0.6403, 0.6403, 0.3597)  4 Be 2.34
Ta (0.3390, 0.3390, 0.6610)  4 Be 2.69, 5 Rh 2.79-2.89, 4 Ta 2.89

Output
symmetry = I4mm
energy above the lowest structure with this stoichiometry = 137 meV/atom
E_tot = -24.1 eV for the cell shown

For the records above, the corresponding formation enthalpy at 0 K values read -0.2180 -0.3852 eV per atom.